# Ac2Er3Pt4 (GGA-PBE, optimized geometry)
data_Ac2Er3Pt4
_symmetry_space_group_name_H-M 'P 1 21/c 1'
_symmetry_Int_Tables_number 14
_symmetry_space_group_name_Hall '-P 2ybc'
_cell_length_a 7.717
_cell_length_b 7.758
_cell_length_c 8.040
_cell_angle_alpha 90.00
_cell_angle_beta 109.57
_cell_angle_gamma 90.00
loop_
_atom_site_label
_atom_site_fract_x
_atom_site_fract_y
_atom_site_fract_z
Ac1 0.196 0.175 0.081
Er1 0.250 0.661 0.249
Er2 0.500 0.000 0.500
Pt1 0.096 0.545 0.869
Pt2 0.496 0.637 0.626
# Electronic total energy ... -113.35 eV per cell
# ΔE_f ... -1.18 eV per atom